1.
Entry from Alexandria: a relaxed NdPaPd2O8 crystal (PBE-GGA).

Cell: 5.5354 5.5354 6.5830 Å, 114.86 114.86 90.00°
Each line ends with the local moment (μB).
Fractional coordinates of all 12 atoms:
Pd 0.5000 0.5000 0.0000  0.58
Pd 0.2500 0.7500 0.5000  0.68
O 0.3779 0.2369 0.0896  0.18
O 0.1473 0.6221 0.9104  0.18
O 0.6197 0.6834 0.6049  0.34
O 0.3166 0.0148 0.3951  0.34
O 0.7118 0.8527 0.0896  0.18
O 0.7631 0.2882 0.9104  0.18
O 0.9852 0.9215 0.6049  0.34
O 0.0785 0.3803 0.3951  0.34
Nd 0.7500 0.2500 0.5000  0.02
Pa 0.0000 0.0000 0.0000  0.02

**Space-group type**: I-4, No. 82
**E**: -83.9 eV per cell



2.
Entry from Alexandria: a relaxed NdPaPdO6 crystal (PBE-GGA).

Cell: 4.9307 5.4779 5.4779 Å, 120.00 90.00 90.00°
Fractional coordinates of all 9 atoms:
O 0.2566 0.2920 0.3216
O 0.7434 0.2920 0.9704
O 0.2566 0.6784 0.9704
O 0.2566 0.0296 0.7080
O 0.7434 0.6784 0.7080
O 0.7434 0.0296 0.3216
Pd 0.5000 0.0000 0.0000
Nd 0.5000 0.6667 0.3333
Pa 0.0000 0.3333 0.6667

**Space-group type**: P312, No. 149
**E**: -70.3 eV per cell



3.
Entry from Alexandria: a relaxed NdPuPaO6 crystal (PBE-GGA).

Cell: 4.7545 5.8519 5.8519 Å, 120.00 90.00 90.00°
Each line ends with the local moment (μB).
Fractional coordinates of all 9 atoms:
O 0.2538 0.3143 0.3391  -0.04
O 0.2538 0.6609 0.9752  -0.04
O 0.7462 0.0248 0.3391  -0.04
O 0.7462 0.3143 0.9752  -0.04
O 0.2538 0.0248 0.6857  -0.04
O 0.7462 0.6609 0.6857  -0.04
Nd 0.5000 0.6667 0.3333  0.02
Pu 0.5000 0.0000 0.0000  4.15
Pa 0.0000 0.3333 0.6667  0.04

**Space-group type**: P312, No. 149
**E**: -87.4 eV per cell



4.
Entry from Alexandria: a relaxed Rb3NdPa2O9 crystal (PBE-GGA).

Cell: 6.3300 6.3300 7.7377 Å, 90.00 90.00 120.00°
Each line ends with the local moment (μB).
Fractional coordinates of all 15 atoms:
O 0.0000 0.5000 0.0000  0.15
O 0.8245 0.1755 0.6785  0.18
O 0.1755 0.3511 0.3215  0.18
O 0.6489 0.8245 0.3215  0.18
O 0.1755 0.8245 0.3215  0.18
O 0.5000 0.0000 0.0000  0.15
O 0.3511 0.1755 0.6785  0.18
O 0.5000 0.5000 0.0000  0.15
O 0.8245 0.6489 0.6785  0.18
Pa 0.6667 0.3333 0.8348  0.10
Pa 0.3333 0.6667 0.1652  0.10
Rb 0.6667 0.3333 0.3361  0.00
Rb 0.3333 0.6667 0.6639  0.00
Rb 0.0000 0.0000 0.0000  0.00
Nd 0.0000 0.0000 0.5000  0.01

**Space-group type**: P-3m1, No. 164
**E**: -111.8 eV per cell



Q: Which of these has the lowest E?
A: Rb3NdPa2O9



Q: What is the E in the first record?
A: -83.9 eV per cell



Q: What is the E in the first record?
A: -83.9 eV per cell



Q: E of number 1 (NdPaPd2O8)?
A: -83.9 eV per cell